## BaLiIn2S4 (PBE)

Data for a relaxed BaLiIn2S4 crystal.

Calculated density = 4.18 Mg/m³
V = 199.5 Å³/f.u.
Formation energy from raw total energies = -0.95 eV per atom
Magnetic moment = 0.0 μB/cell

```
data_BaLiIn2S4
_cell_length_a 6.871
_cell_length_b 6.991
_cell_length_c 8.307
_cell_angle_alpha 90.00
_cell_angle_beta 90.00
_cell_angle_gamma 90.00
_symmetry_space_group_name_H-M 'I 2 2 2'
_symmetry_Int_Tables_number 23
_symmetry_space_group_name_Hall 'I 2 2'
loop_
_atom_site_label
_atom_site_type_symbol
_atom_site_fract_x
_atom_site_fract_y
_atom_site_fract_z
_atom_site_occupancy
Ba1 Ba 0.000 0.000 0.000 1
Li1 Li 0.000 0.000 0.500 1
In1 In 0.000 0.500 0.275 1
S1 S 0.218 0.196 0.657 1
```